Record 1
The following is a PBE-GGA calculation of PaBeSi after structural relaxation, from OQMD via LeMat-Bulk.

The structure in POSCAR format:
```
PaBeSi
1.0
-3.946 -0.722 1.311
-2.818 3.141 0.039
-3.181 0.015 -2.773
Be Pa Si
1 1 1
Cartesian
0.000 0.000 0.000 Be
-2.486 0.609 -0.356 Pa
-7.459 1.826 -1.067 Si
```

Properties
Raw total energy = -18.73 eV per cell

***

Record 2
The following is a PBE-GGA calculation of Pr2B5 after structural relaxation, from OQMD via LeMat-Bulk.

The structure in POSCAR format:
```
Pr2B5
1.0
-0.920 -6.792 2.570
-5.266 -1.175 -4.992
7.219 1.377 -4.199
Pr B
8 20
Cartesian
-1.930 -4.095 -2.564 Pr
0.660 -5.427 -4.984 Pr
0.573 -4.468 0.295 Pr
0.460 -2.121 -6.915 Pr
0.373 -1.162 -1.637 Pr
3.178 -5.687 -2.167 Pr
2.963 -2.494 -4.056 Pr
-2.145 -0.902 -4.453 Pr
1.851 0.026 -3.649 B
3.098 -1.591 -1.456 B
-0.836 -6.258 -1.194 B
-2.013 -6.539 -4.292 B
-1.169 -3.416 -5.064 B
0.123 -2.779 -4.014 B
3.046 -0.050 -2.329 B
-1.959 -5.710 -0.061 B
5.156 -3.749 -2.755 B
-3.008 -3.444 -4.977 B
1.868 -0.331 -5.426 B
0.423 -5.479 -2.264 B
2.201 -3.174 -1.556 B
-4.124 -2.840 -3.865 B
0.609 -1.110 -4.356 B
2.992 -0.879 -6.559 B
-0.819 -6.615 -2.972 B
4.041 -3.145 -1.643 B
0.910 -3.810 -2.606 B
-2.065 -4.998 -5.165 B
```

Properties
Raw total energy = -185.49 eV per cell

***

Record 3
The following is a PBE-GGA calculation of Er2Te2O5 after structural relaxation, from OQMD via LeMat-Bulk.

The structure in POSCAR format:
```
Er2Te2O5
1.0
9.079 0.000 0.000
0.000 3.893 0.000
0.000 0.000 3.893
O Te Er
5 2 2
Cartesian
7.764 1.946 0.000 O
4.540 1.946 1.946 O
7.764 0.000 1.946 O
1.316 0.000 1.946 O
1.316 1.946 0.000 O
0.000 0.000 0.000 Te
4.540 0.000 0.000 Te
2.352 1.946 1.946 Er
6.727 1.946 1.946 Er
```

Properties
Raw total energy = -58.36 eV per cell